1.
A plane-wave DFT calculation with PBE-GGA was carried out for a geometry-optimized BeSn2As structure. Values from VASP.

formation enthalpy at 0 K	528	meV/atom
symmetry	No. 225
distance to the lowest polymorph of the same formula	1.35	eV/f.u.
E	-14.271	eV for the cell shown

The structure in Quantum ESPRESSO input format:
```
&SYSTEM
  ibrav = 0, nat = 4, ntyp = 3
/
ATOMIC_SPECIES
As 74.92 As.upf
Be 9.01 Be.upf
Sn 118.71 Sn.upf
CELL_PARAMETERS angstrom
-2.444 -3.043 3.031
-2.945 1.850 3.511
-4.904 -0.465 -0.392
ATOMIC_POSITIONS crystal
As 0.500 0.500 0.500
Be 0.000 0.000 0.000
Sn 0.250 0.250 0.250
Sn 0.750 0.750 0.750
```

2.
A plane-wave DFT calculation with PBE-GGA was carried out for a geometry-optimized Be3SnAs4 structure. Values from VASP.

formation enthalpy at 0 K	211	meV/atom
symmetry	No. 215
E	-32.090	eV for the cell shown

The structure in Quantum ESPRESSO input format:
```
&SYSTEM
  ibrav = 0, nat = 8, ntyp = 3
/
ATOMIC_SPECIES
Be 9.01 Be.upf
As 74.92 As.upf
Sn 118.71 Sn.upf
CELL_PARAMETERS angstrom
5.340 0.000 0.000
0.000 5.340 0.000
0.000 0.000 5.340
ATOMIC_POSITIONS crystal
Be 0.000 0.000 0.500
Be 0.500 0.000 0.000
Be 0.000 0.500 0.000
As 0.718 0.282 0.718
As 0.282 0.282 0.282
As 0.718 0.718 0.282
As 0.282 0.718 0.718
Sn 0.000 0.000 0.000
```

3.
A plane-wave DFT calculation with PBE-GGA was carried out for a geometry-optimized Be2TlSnAs structure. Values from VASP.

formation enthalpy at 0 K	977	meV/atom
symmetry	No. 123
E	-13.586	eV for the cell shown

The structure in Quantum ESPRESSO input format:
```
&SYSTEM
  ibrav = 0, nat = 5, ntyp = 4
/
ATOMIC_SPECIES
Tl 204.38 Tl.upf
Be 9.01 Be.upf
As 74.92 As.upf
Sn 118.71 Sn.upf
CELL_PARAMETERS angstrom
4.487 0.000 0.000
0.000 6.220 0.000
0.000 0.000 4.487
ATOMIC_POSITIONS crystal
Tl 0.000 0.500 0.000
Be 0.000 0.000 0.500
Be 0.500 0.000 0.000
As 0.500 0.500 0.500
Sn 0.000 0.000 0.000
```